No. 1
VASP calculation (PBE) on a geometry-optimized Er2ZnAg structure.

Lattice parameters (Å, degrees): 7.146 7.146 7.146 90.00 90.00 90.00
Space group Fm-3m (No. 225)
One atom of each set of equivalent atoms:
Er (0.250, 0.250, 0.250) [8 per cell]
Zn (0.000, 0.000, 0.000) [4 per cell]
Ag (0.000, 0.000, 0.500) [4 per cell]

=====

No. 2
VASP calculation (PBE) on a geometry-optimized Er3Zn2Ag4 structure.

Lattice parameters (Å, degrees): 10.573 4.624 8.810 90.00 118.83 90.00
Space group C2/m (No. 12)
One atom of each set of equivalent atoms:
Er (0.000, 0.000, 0.000) [2 per cell]
Er (0.169, 0.500, 0.660) [4 per cell]
Zn (0.103, 0.500, 0.273) [4 per cell]
Ag (0.051, 0.000, 0.380) [4 per cell]
Ag (0.217, 0.500, 0.062) [4 per cell]

=====

No. 3
VASP calculation (PBE) on a geometry-optimized Er3Zn2Ag structure.

Lattice parameters (Å, degrees): 3.557 3.557 10.657 90.00 90.00 90.00
Space group P4/mmm (No. 123)
One atom of each set of equivalent atoms:
Er (0.000, 0.000, 0.000) [1 per cell]
Er (0.000, 0.000, 0.327) [2 per cell]
Zn (0.500, 0.500, 0.161) [2 per cell]
Ag (0.500, 0.500, 0.500) [1 per cell]

=====

| no. | VASP energy (eV per cell) | E_form (kcal/mol of atoms) |
| --- | --- | --- |
| 1 | -58.33 | -7.67 |
| 2 | -60.70 | -6.94 |
| 3 | -21.19 | -8.08 |